A crystal of EuTl2Pt relaxed with PBEsol. Source: Alexandria, functional meta-GGA SCAN.

a b c (Å): 4.346 5.763 8.205
angles (deg): 90.00 90.00 112.15
Atoms (fractional coordinates):
Eu (0.068, 0.136, 0.250)
Eu (0.932, 0.864, 0.750)
Tl (0.359, 0.717, 0.450)
Tl (0.641, 0.283, 0.550)
Tl (0.359, 0.717, 0.050)
Tl (0.641, 0.283, 0.950)
Pt (0.221, 0.442, 0.750)
Pt (0.779, 0.558, 0.250)

Calculated values
The value obtained for the density of states at the Fermi level is 15.4 states/eV/cell. For the final energy, the calculation gives -67.725 eV/atom. The calculated volume comes out at 190 Å³ per cell. As for the formation energy: -0.5698 eV/atom. As for the calculated density: 13.188 g cm⁻³. As for the spin magnetization: 7.1 μB per formula unit.

=====

A crystal of ZrMn2Cu2 relaxed with PBEsol. Source: Alexandria, functional meta-GGA SCAN.

a b c (Å): 3.735 3.735 5.580
angles (deg): 109.55 109.55 90.00
Atoms (fractional coordinates):
Mn (0.403, 0.403, 0.806)
Mn (0.597, 0.597, 0.194)
Cu (0.250, 0.750, 0.500)
Cu (0.750, 0.250, 0.500)
Zr (0.000, 0.000, 0.000)

Calculated values
The value obtained for the density of states at the Fermi level is 2.3 states/eV/cell. For the final energy, the calculation gives -19.355 eV/atom. The calculated volume comes out at 69 Å³ per cell. As for the formation energy: 0.1667 eV/atom. As for the calculated density: 7.948 g cm⁻³. As for the spin magnetization: 0.0 μB per formula unit.